(1)
A plane-wave DFT calculation with PBE was carried out for a relaxed Sc3Cr5N12 crystal.

```
Sc3Cr5N12
1.0
-4.7872 -2.0074 -8.9611
5.4888 -8.2846 2.9130
-7.0481 2.1990 7.2620
Sc Cr N
12 20 48
Direct
0.7500 0.3750 0.1250
0.8750 0.7500 0.1250
0.3750 0.7500 0.6250
0.2500 0.1250 0.3750
0.8750 0.1250 0.2500
0.3750 0.6250 0.2500
0.6250 0.3750 0.7500
0.1250 0.8750 0.7500
0.7500 0.8750 0.6250
0.6250 0.2500 0.3750
0.1250 0.2500 0.8750
0.2500 0.6250 0.8750
0.1250 0.3750 0.2500
0.0000 0.5000 0.0000
0.0000 0.0000 0.0000
0.3750 0.2500 0.1250
0.5000 0.0000 0.5000
0.5000 0.5000 0.0000
0.1250 0.7500 0.3750
0.7500 0.1250 0.8750
0.7500 0.6250 0.3750
0.3750 0.1250 0.7500
0.6250 0.8750 0.2500
0.5000 0.5000 0.5000
0.5000 0.0000 0.0000
0.0000 0.0000 0.5000
0.2500 0.3750 0.6250
0.2500 0.8750 0.1250
0.0000 0.5000 0.5000
0.8750 0.2500 0.6250
0.6250 0.7500 0.8750
0.8750 0.6250 0.7500
0.7054 0.1176 0.0211
0.3157 0.5211 0.4034
0.9789 0.3824 0.2946
0.5211 0.2054 0.1176
0.5877 0.7054 0.6843
0.9789 0.5966 0.1843
0.3157 0.7946 0.4123
0.0966 0.9123 0.1176
0.5966 0.9789 0.6843
0.7054 0.5877 0.1843
0.7946 0.4789 0.3824
0.8157 0.9034 0.0211
0.1176 0.7054 0.5211
0.3824 0.4034 0.0877
0.0877 0.9034 0.3824
0.4123 0.1176 0.5966
0.0877 0.1843 0.2054
0.4789 0.6843 0.0966
0.8157 0.9123 0.2946
0.1176 0.4123 0.0966
0.3824 0.9789 0.7946
0.5966 0.6176 0.4123
0.9034 0.8157 0.5211
0.7946 0.3157 0.9123
0.4034 0.3824 0.5877
0.0966 0.1843 0.4789
0.2054 0.6843 0.0877
0.1843 0.0877 0.7054
0.6176 0.0211 0.2054
0.8824 0.5877 0.9034
0.5211 0.3157 0.9034
0.5877 0.8824 0.4034
0.9123 0.8157 0.7946
0.9123 0.0966 0.6176
0.8824 0.2946 0.4789
0.1843 0.0966 0.9789
0.6176 0.5966 0.9123
0.4034 0.0211 0.3157
0.2946 0.4123 0.8157
0.2054 0.5211 0.6176
0.9034 0.0877 0.8824
0.6843 0.2054 0.5877
0.4789 0.7946 0.8824
0.0211 0.4034 0.8157
0.4123 0.2946 0.3157
0.0211 0.6176 0.7054
0.6843 0.4789 0.5966
0.2946 0.8824 0.9789
```

Its total energy is -8.912 eV/atom. The calculation puts the size of the total moment at 12.0 Bohr magnetons per cell.


(2)
A plane-wave DFT calculation with PBE was carried out for a relaxed La2DyGa6 crystal.

```
La2DyGa6
1.0
-3.5022 -1.3904 2.1807
2.7589 -6.8964 0.0337
1.6028 4.6685 5.5506
La Dy Ga
2 1 6
Direct
0.0000 0.3333 0.6667
0.0000 0.6667 0.3333
0.0000 0.0000 0.0000
0.5000 0.3307 0.3307
0.5000 0.6693 0.6693
0.5000 0.0000 0.6693
0.5000 0.6693 0.0000
0.5000 0.3307 0.0000
0.5000 0.0000 0.3307
```

Its total energy is -4.296 eV/atom. The calculation puts the size of the total moment at 0.0 Bohr magnetons per cell.


(3)
A plane-wave DFT calculation with PBE was carried out for a relaxed Ni2AsH crystal.

```
Ni2AsH
1.0
0.2934 -3.8818 -0.4242
-1.0558 -2.3751 2.9289
-3.2341 -2.1847 -0.3196
Ni As H
2 1 1
Direct
0.2500 0.2500 0.2500
0.7500 0.7500 0.7500
0.5000 0.5000 0.5000
0.0000 0.0000 0.0000
```

The excess energy over the best structure of this formula in the dataset comes out at 370.7 meV per atom. The calculation puts the size of the total moment at 0.0 Bohr magnetons per cell.


(4)
A plane-wave DFT calculation with PBE was carried out for a relaxed Sm4ErTe4 crystal.

```
Sm4ErTe4
1.0
-7.1622 3.1889 0.1671
-1.3725 -3.4446 6.9098
6.1723 4.2782 -1.0910
Sm Er Te
4 1 4
Direct
0.5000 0.0000 0.0000
0.0000 0.5000 0.0000
0.3303 0.3303 0.6605
0.6697 0.6697 0.3395
0.0000 0.0000 0.0000
0.6324 0.6324 0.7202
0.3676 0.9122 0.2798
0.0878 0.0878 0.7202
0.9122 0.3676 0.2798
```

Its total energy is -4.804 eV/atom. The calculation puts the size of the total moment at 0.0 Bohr magnetons per cell.